(1)
## Tb2MgSi2Rh5 (PBE)

Data for a geometry-optimized Tb2MgSi2Rh5 structure.

Results
Formation energy without anion corrections, meV/atom: -935

Unit cell a=3.427 b=9.909 c=9.909 alpha=90.00 beta=90.00 gamma=90.00
Sites, in units of the cell vectors:
Tb (0.000, 0.326, 0.826)
Tb (0.000, 0.674, 0.174)
Tb (0.000, 0.174, 0.326)
Tb (0.000, 0.826, 0.674)
Rh (0.500, 0.069, 0.784)
Rh (0.500, 0.569, 0.716)
Rh (0.500, 0.784, 0.931)
Rh (0.500, 0.500, 0.000)
Rh (0.500, 0.000, 0.500)
Rh (0.500, 0.716, 0.431)
Rh (0.500, 0.431, 0.284)
Rh (0.500, 0.216, 0.069)
Rh (0.500, 0.284, 0.569)
Rh (0.500, 0.931, 0.216)
Si (0.000, 0.375, 0.125)
Si (0.000, 0.625, 0.875)
Si (0.000, 0.125, 0.625)
Si (0.000, 0.875, 0.375)
Mg (0.000, 0.500, 0.500)
Mg (0.000, 0.000, 0.000)

=====

(2)
## ThMgSi2Rh5 (PBE)

Data for a geometry-optimized ThMgSi2Rh5 structure.

Results
Formation energy without anion corrections, meV/atom: -762

Unit cell a=4.149 b=4.149 c=8.744 alpha=90.00 beta=90.00 gamma=90.00
Sites, in units of the cell vectors:
Si (0.500, 0.500, 0.866)
Si (0.500, 0.500, 0.134)
Rh (0.500, 0.500, 0.500)
Rh (0.000, 0.500, 0.256)
Rh (0.000, 0.500, 0.744)
Rh (0.500, 0.000, 0.256)
Rh (0.500, 0.000, 0.744)
Th (0.000, 0.000, 0.500)
Mg (0.000, 0.000, 0.000)

=====

(3)
## ThMgSi2Rh2 (PBE)

Data for a geometry-optimized ThMgSi2Rh2 structure.

Results
Formation energy without anion corrections, meV/atom: -868

Unit cell a=4.229 b=4.229 c=6.852 alpha=90.00 beta=90.00 gamma=120.00
Sites, in units of the cell vectors:
Mg (0.000, 0.000, 0.500)
Th (0.000, 0.000, 0.000)
Si (0.667, 0.333, 0.722)
Si (0.333, 0.667, 0.278)
Rh (0.667, 0.333, 0.356)
Rh (0.333, 0.667, 0.644)

=====

The highest formation energy without anion corrections belongs to which entry? ThMgSi2Rh5

=====

Number 3 is which compound? ThMgSi2Rh2

=====

Look up the formation energy without anion corrections of the second one. -762 meV/atom